An optimized crystal structure of K2Mn2Se2O. Source: Alexandria via LeMat-Bulk, functional GGA+U.

Cell: 4.3963 4.3963 16.5473 Å, 90.00 90.00 90.00°
Space group I4/mmm (No. 139)
Unique sites:
K: 0.0000 0.0000 0.1721
Mn: 0.0000 0.5000 0.0000
Se: 0.0000 0.0000 0.3870
O: 0.0000 0.0000 0.0000

Values from the calculation:
VASP energy in eV per cell: -74.159
Size of the total moment in μB/cell: 20.000